This record from Alexandria describes a geometry-optimized Dy6TeP3Se2 structure. The functional is GGA-PBE.

Values from the calculation:
The value obtained for the density of states at the Fermi level is 0.36 states/eV/atom. Its space group is C2/m. The value obtained for the raw formation energy is -1694.9 meV per atom. For the calculated total energy, the calculation gives -6.19 eV per atom.

a b c (Å): 9.2108 9.2108 8.2667
angles (deg): 104.52 104.52 25.44
With the nearest neighbours (Å) after each atom.
Atoms (fractional coordinates):
Dy 0.0047 0.0047 0.2261  3 P 2.74-2.79, 1 Se 3.01, 2 Te 3.06
Dy 0.3239 0.3239 0.4275  3 P 2.75-2.82, 2 Se 2.99, 1 Te 3.07
Dy 0.3381 0.3381 0.9052  3 P 2.81, 3 Se 2.97-2.98
Dy 0.6619 0.6619 0.0948  3 P 2.81, 3 Se 2.97-2.98
Dy 0.6761 0.6761 0.5725  3 P 2.75-2.82, 2 Se 2.99, 1 Te 3.07
Dy 0.9953 0.9953 0.7739  3 P 2.74-2.79, 1 Se 3.01, 2 Te 3.06
Te 0.5000 0.5000 0.5000  6 Dy 3.06-3.07
P 0.1655 0.1655 0.3314  6 Dy 2.75-2.82
P 0.5000 0.5000 0.0000  6 Dy 2.74-2.81
P 0.8345 0.8345 0.6686  6 Dy 2.75-2.82
Se 0.1675 0.1675 0.8335  6 Dy 2.97-3.01
Se 0.8325 0.8325 0.1665  6 Dy 2.97-3.01

This record from Alexandria describes a geometry-optimized CsSnI2Cl structure. The functional is GGA-PBE.

Values from the calculation:
The energy above the most stable polymorph in this dataset is 0 meV/atom. Its space group is I4cm. The value obtained for the raw formation energy is -1101.5 meV per atom. For the calculated total energy, the calculation gives -3.06 eV per atom.

a b c (Å): 8.4956 8.4956 8.4956
angles (deg): 116.49 116.49 96.19
With the nearest neighbours (Å) after each atom.
Atoms (fractional coordinates):
Cs 0.0000 0.5000 0.5000  8 I 4.14-4.36, 4 Cl 4.47
Cs 0.5000 0.0000 0.5000  8 I 4.14-4.36, 4 Cl 4.47
Sn 0.2395 0.2395 0.0000  1 Cl 2.59
Sn 0.7395 0.7395 0.0000  1 Cl 2.59
I 0.0122 0.5122 0.0231  2 Sn 3.17
I 0.4890 0.9890 0.9769  2 Sn 3.17
I 0.5122 0.4890 0.5000  2 Sn 3.17
I 0.9890 0.0122 0.5000  2 Sn 3.17
Cl 0.0108 0.0108 0.0000  1 Sn 2.59
Cl 0.5108 0.5108 0.0000  1 Sn 2.59

This record from Alexandria describes a geometry-optimized LaZrTe3 structure. The functional is GGA-PBE.

Values from the calculation:
The value obtained for the density of states at the Fermi level is 1.00 states/eV/atom. The energy above the most stable polymorph in this dataset is 1401 meV/atom. Its space group is Pm-3m. The value obtained for the raw formation energy is 203.1 meV per atom. For the calculated total energy, the calculation gives -4.38 eV per atom.

a b c (Å): 6.0190 6.0190 6.0190
angles (deg): 90.00 90.00 90.00
With the nearest neighbours (Å) after each atom.
Atoms (fractional coordinates):
La 0.0000 0.0000 0.0000  6 Te 3.01
Zr 0.5000 0.5000 0.5000  12 Te 4.26
Te 0.0000 0.0000 0.5000  2 La 3.01
Te 0.0000 0.5000 0.0000  2 La 3.01
Te 0.5000 0.0000 0.0000  2 La 3.01

This record from Alexandria describes a geometry-optimized UCdI6 structure. The functional is GGA-PBE.

Values from the calculation:
The value obtained for the density of states at the Fermi level is 0.82 states/eV/atom. The energy above the most stable polymorph in this dataset is 0 meV/atom. Its space group is C2/m. The value obtained for the raw formation energy is -713.5 meV per atom. For the calculated total energy, the calculation gives -3.40 eV per atom.

a b c (Å): 7.9627 7.9627 7.2872
angles (deg): 90.13 90.13 120.07
With the nearest neighbours (Å) after each atom.
Atoms (fractional coordinates):
U 0.0000 0.0000 0.0000  6 I 3.02
Cd 0.0000 0.0000 0.5000  6 I 3.04
I 0.0008 0.6963 0.2477  1 U 3.02, 1 Cd 3.04
I 0.3037 0.9992 0.7523  1 U 3.02, 1 Cd 3.04
I 0.3046 0.3046 0.2497  1 U 3.02, 1 Cd 3.04
I 0.6954 0.6954 0.7503  1 U 3.02, 1 Cd 3.04
I 0.6963 0.0008 0.2477  1 U 3.02, 1 Cd 3.04
I 0.9992 0.3037 0.7523  1 U 3.02, 1 Cd 3.04

This record from Alexandria describes a geometry-optimized MnV3Re2 structure. The functional is GGA-PBE.

Values from the calculation:
The value obtained for the density of states at the Fermi level is 0.56 states/eV/atom. Its energy relative to the elements is -0.30 eV per atom. Its space group is P4/mmm. For the calculated total energy, the calculation gives -10.54 eV per atom.

a b c (Å): 2.9957 2.9957 8.9601
angles (deg): 90.00 90.00 90.00
With the nearest neighbours (Å) after each atom.
Atoms (fractional coordinates):
Mn 0.0000 0.0000 0.0000  8 V 2.55
V 0.5000 0.5000 0.1582  4 Mn 2.55, 4 Re 2.61, 1 V 2.83
V 0.5000 0.5000 0.5000  8 Re 2.62
V 0.5000 0.5000 0.8418  4 Mn 2.55, 4 Re 2.61, 1 V 2.83
Re 0.0000 0.0000 0.3284  8 V 2.61-2.62
Re 0.0000 0.0000 0.6716  8 V 2.61-2.62

This record from Alexandria describes a geometry-optimized CaVRu3 structure. The functional is GGA-PBE.

Values from the calculation:
The value obtained for the density of states at the Fermi level is 1.61 states/eV/atom. Its energy relative to the elements is 0.59 eV per atom. The energy above the most stable polymorph in this dataset is 0 meV/atom. Its space group is Pm-3m. For the calculated total energy, the calculation gives -7.20 eV per atom.

a b c (Å): 4.5445 4.5445 4.5445
angles (deg): 90.00 90.00 90.00
With the nearest neighbours (Å) after each atom.
Atoms (fractional coordinates):
Ca 0.0000 0.0000 0.0000  12 Ru 3.21
V 0.5000 0.5000 0.5000  6 Ru 2.27
Ru 0.0000 0.5000 0.5000  2 V 2.27
Ru 0.5000 0.0000 0.5000  2 V 2.27
Ru 0.5000 0.5000 0.0000  2 V 2.27

This record from Alexandria describes a geometry-optimized Ac2InHPd6 structure. The functional is GGA-PBE.

Values from the calculation:
The value obtained for the density of states at the Fermi level is 0.48 states/eV/atom. Its space group is R-3m. For the calculated total energy, the calculation gives -5.20 eV per atom.

a b c (Å): 7.2730 7.2730 7.2730
angles (deg): 48.41 48.41 48.41
With the nearest neighbours (Å) after each atom.
Atoms (fractional coordinates):
Ac 0.2358 0.2358 0.2358  6 Pd 3.07
Ac 0.7642 0.7642 0.7642  6 Pd 3.07
In 0.5000 0.5000 0.5000  6 Pd 2.70
H 0.0000 0.0000 0.0000  6 Pd 2.04
Pd 0.2233 0.2233 0.7322  1 H 2.04
Pd 0.2233 0.7322 0.2233  1 H 2.04
Pd 0.2678 0.7767 0.7767  1 H 2.04
Pd 0.7322 0.2233 0.2233  1 H 2.04
Pd 0.7767 0.2678 0.7767  1 H 2.04
Pd 0.7767 0.7767 0.2678  1 H 2.04

This record from Alexandria describes a geometry-optimized Ba2LiBi2 structure. The functional is GGA-PBE.

Values from the calculation:
The value obtained for the density of states at the Fermi level is 0.31 states/eV/atom. Its energy relative to the elements is -0.51 eV per atom. The energy above the most stable polymorph in this dataset is 269 meV/atom. Its space group is P4/mbm. For the calculated total energy, the calculation gives -3.21 eV per atom.

a b c (Å): 10.3226 10.3226 3.8850
angles (deg): 90.00 90.00 90.00
With the nearest neighbours (Å) after each atom.
Atoms (fractional coordinates):
Ba 0.1333 0.3667 0.0000  6 Bi 3.50-3.67, 3 Ba 3.88-3.89
Ba 0.3667 0.8667 0.0000  6 Bi 3.50-3.67, 3 Ba 3.88-3.89
Ba 0.6333 0.1333 0.0000  6 Bi 3.50-3.67, 3 Ba 3.88-3.89
Ba 0.8667 0.6333 0.0000  6 Bi 3.50-3.67, 3 Ba 3.88-3.89
Li 0.0000 0.0000 0.0000  2 Li 3.88, 4 Ba 4.03, 8 Bi 4.31
Li 0.5000 0.5000 0.0000  2 Li 3.88, 4 Ba 4.03, 8 Bi 4.31
Bi 0.1670 0.6670 0.5000  6 Ba 3.50-3.67, 2 Bi 3.88
Bi 0.3330 0.1670 0.5000  6 Ba 3.50-3.67, 2 Bi 3.88
Bi 0.6670 0.8330 0.5000  6 Ba 3.50-3.67, 2 Bi 3.88
Bi 0.8330 0.3330 0.5000  6 Ba 3.50-3.67, 2 Bi 3.88

This record from Alexandria describes a geometry-optimized TaAs2Ru structure. The functional is GGA-PBE.

Values from the calculation:
The value obtained for the density of states at the Fermi level is 0.81 states/eV/atom. Its energy relative to the elements is 0.02 eV per atom. The energy above the most stable polymorph in this dataset is 235 meV/atom. Its space group is R-3m. For the calculated total energy, the calculation gives -7.58 eV per atom.

a b c (Å): 8.3753 8.3753 8.3753
angles (deg): 20.75 20.75 20.75
With the nearest neighbours (Å) after each atom.
Atoms (fractional coordinates):
Ta 0.0000 0.0000 0.0000  6 As 2.82, 6 Ta 3.02
As 0.2433 0.2433 0.2433  3 Ru 2.56, 3 Ta 2.82
As 0.7567 0.7567 0.7567  3 Ru 2.56, 3 Ta 2.82
Ru 0.5000 0.5000 0.5000  6 As 2.56

This record from Alexandria describes a geometry-optimized BaLaPt3 structure. The functional is GGA-PBE.

Values from the calculation:
The value obtained for the density of states at the Fermi level is 1.47 states/eV/atom. Its energy relative to the elements is -0.15 eV per atom. The energy above the most stable polymorph in this dataset is 0 meV/atom. Its space group is Pm-3m. For the calculated total energy, the calculation gives -5.15 eV per atom.

a b c (Å): 5.4280 5.4280 5.4280
angles (deg): 90.00 90.00 90.00
With the nearest neighbours (Å) after each atom.
Atoms (fractional coordinates):
Ba 0.0000 0.0000 0.0000  12 Pt 3.84
La 0.5000 0.5000 0.5000  6 Pt 2.71
Pt 0.0000 0.5000 0.5000  2 La 2.71
Pt 0.5000 0.0000 0.5000  2 La 2.71
Pt 0.5000 0.5000 0.0000  2 La 2.71

This record from Alexandria describes a geometry-optimized K2HfTiPd structure. The functional is GGA-PBE.

Values from the calculation:
The value obtained for the density of states at the Fermi level is 4.23 states/eV/atom. Its energy relative to the elements is 1.27 eV per atom. Its space group is P4/mmm. For the calculated total energy, the calculation gives -3.78 eV per atom.

a b c (Å): 5.7935 5.7935 5.1867
angles (deg): 90.00 90.00 90.00
With the nearest neighbours (Å) after each atom.
Atoms (fractional coordinates):
K 0.0000 0.5000 0.0000  2 Pd 2.90
K 0.5000 0.0000 0.0000  2 Pd 2.90
Hf 0.0000 0.0000 0.5000  2 Pd 2.59
Ti 0.5000 0.5000 0.5000  8 K 3.89, 4 Hf 4.10
Pd 0.0000 0.0000 0.0000  2 Hf 2.59, 4 K 2.90

This record from Alexandria describes a geometry-optimized RbSiPt2Se structure. The functional is GGA-PBE.

Values from the calculation:
The value obtained for the density of states at the Fermi level is 0.86 states/eV/atom. Its space group is P4/mmm. The value obtained for the raw formation energy is 2052.3 meV per atom. For the calculated total energy, the calculation gives -2.34 eV per atom.

a b c (Å): 5.0083 5.0083 5.9048
angles (deg): 90.00 90.00 90.00
With the nearest neighbours (Å) after each atom.
Atoms (fractional coordinates):
Rb 0.0000 0.0000 0.0000  4 Pt 2.50
Si 0.5000 0.5000 0.5000  4 Se 3.54, 8 Pt 3.87
Pt 0.0000 0.5000 0.0000  2 Rb 2.50
Pt 0.5000 0.0000 0.0000  2 Rb 2.50
Se 0.0000 0.0000 0.5000  2 Rb 2.95